# MnTe2

A relaxed MnTe2 crystal (PBE-GGA, Alexandria).

Results
For the formation energy from raw total energies, the calculation gives 0.01 eV per atom. The volume comes out at 29.798 Å³ per atom. The space group is Cmmm (65).

```
6
Lattice="3.8913 0.0000 0.0000 0.0000 14.7331 0.0000 0.0000 0.0000 3.1186" Properties=species:S:1:pos:R:3 pbc="T T T"
Mn 0.0000 0.0000 0.0000
Mn 1.9456 7.3666 0.0000
Te 0.0000 5.4862 0.0000
Te 0.0000 9.2469 0.0000
Te 1.9456 1.8803 0.0000
Te 1.9456 12.8528 0.0000
```